This record from Alexandria describes crystalline VBiPb3 at its relaxed geometry. The functional is PBE-GGA.

Lattice parameters (Å, degrees): 5.9587 5.9587 5.9587 90.00 90.00 90.00
With the nearest neighbours (Å) after each atom.
Space group Pm-3m (No. 221)
One atom of each set of equivalent atoms:
V1 0.0000 0.0000 0.0000 (multiplicity 1)  12 Pb 4.21
Bi1 0.5000 0.5000 0.5000 (multiplicity 1)  6 Pb 2.98
Pb1 0.0000 0.5000 0.5000 (multiplicity 3)  2 Bi 2.98

* V: 212 Å³ per cell
* relative energy among the computed polymorphs: 380 kJ/mol of formula units
* total moment: 4.0 μB/f.u.
* calculated total energy: -18.02 eV for the cell shown

This record from Alexandria describes crystalline YScBr4 at its relaxed geometry. The functional is PBE-GGA.

Lattice parameters (Å, degrees): 8.8669 8.8669 8.8669 90.00 90.00 90.00
With the nearest neighbours (Å) after each atom.
Space group F-43m (No. 216)
One atom of each set of equivalent atoms:
Y1 0.0000 0.0000 0.0000 (multiplicity 4)  12 Br 3.68, 4 Sc 3.84
Sc1 0.2500 0.2500 0.2500 (multiplicity 4)  12 Br 3.68, 4 Y 3.84
Br1 0.1249 0.1249 0.6249 (multiplicity 16)  6 Br 3.13-3.14

* V: 697 Å³ per cell
* total moment: 2.9 μB/f.u.
* calculated total energy: -76.17 eV for the cell shown
* uncorrected formation energy: 0.07 eV/atom